(1)
Here is a relaxed structure of HfFeHg2 from OQMD via LeMat-Bulk. Energies are from PBE-GGA.

Lattice parameters (Å, degrees): 4.7360 4.7360 4.7360 60.00 60.00 60.00
Closest atoms and distances in Å follow each position.
Fractional positions:
Fe (0.7500, 0.7500, 0.7500)  4 Hg 2.90, 4 Hf 2.90
Hf (0.5000, 0.5000, 0.5000)  4 Hg 2.90, 4 Fe 2.90
Hg (0.0000, 0.0000, 0.0000)  4 Fe 2.90, 4 Hg 2.90
Hg (0.2500, 0.2500, 0.2500)  4 Hf 2.90, 4 Hg 2.90

Values from the calculation:
Size of the total moment   1.97 μB/cell
Total energy   -17.79 eV per cell
Formation enthalpy at 0 K   0.27 eV per atom

(2)
Here is a relaxed structure of TlOs3Pb5 from OQMD via LeMat-Bulk. Energies are from PBE-GGA.

Lattice parameters (Å, degrees): 5.5541 5.5541 8.5461 90.00 90.00 120.00
Closest atoms and distances in Å follow each position.
Fractional positions:
Os (0.5000, 0.0000, 0.5000)  6 Pb 2.78-2.95, 4 Os 2.78
Os (0.0000, 0.5000, 0.5000)  4 Os 2.78, 6 Pb 2.78-2.95
Os (0.5000, 0.5000, 0.5000)  4 Os 2.78, 6 Pb 2.78-2.95
Pb (0.6667, 0.3333, 0.2108)  3 Os 2.95, 3 Pb 3.21
Pb (0.3333, 0.6667, 0.2108)  3 Os 2.95, 3 Pb 3.21
Pb (0.0000, 0.0000, 0.5000)  6 Os 2.78
Pb (0.6667, 0.3333, 0.7892)  3 Os 2.95, 3 Pb 3.21
Pb (0.3333, 0.6667, 0.7892)  3 Os 2.95, 3 Pb 3.21
Tl (0.0000, 0.0000, 0.0000)  12 Pb 3.68

Values from the calculation:
Size of the total moment   2.88 μB/cell
Total energy   -49.50 eV per cell

(3)
Here is a relaxed structure of CsLaGd from OQMD via LeMat-Bulk. Energies are from PBE-GGA.

Lattice parameters (Å, degrees): 6.1237 6.1237 6.1237 60.00 60.00 60.00
Closest atoms and distances in Å follow each position.
Fractional positions:
Cs (0.2500, 0.2500, 0.2500)  4 La 3.75
Gd (0.7500, 0.7500, 0.7500)  4 La 3.75
La (0.0000, 0.0000, 0.0000)  4 Gd 3.75, 4 Cs 3.75

Values from the calculation:
Size of the total moment   4.63 μB/cell
Total energy   -6.92 eV per cell

(4)
Here is a relaxed structure of Si2Bi14IrI12 from OQMD via LeMat-Bulk. Energies are from PBE-GGA.

Lattice parameters (Å, degrees): 10.4479 10.4479 20.4493 90.00 90.00 90.00
Closest atoms and distances in Å follow each position.
Fractional positions:
Bi (0.2528, 0.0579, 0.0000)  1 Ir 2.71
Bi (0.9421, 0.2528, 0.0000)  1 Ir 2.71
Bi (0.0579, 0.7472, 0.0000)  1 Ir 2.71
Bi (0.7472, 0.9421, 0.0000)  1 Ir 2.71
Bi (0.0000, 0.0000, 0.1319)  1 Ir 2.70
Bi (0.5856, 0.2987, 0.1819)  1 Si 2.91, 2 Bi 3.23
Bi (0.2987, 0.4144, 0.1819)  1 Si 2.91, 2 Bi 3.23
Bi (0.7013, 0.5856, 0.1819)  1 Si 2.91, 2 Bi 3.23
Bi (0.4144, 0.7013, 0.1819)  1 Si 2.91, 2 Bi 3.23
Bi (0.4144, 0.2987, 0.3181)  1 Si 2.91, 2 Bi 3.23
Bi (0.7013, 0.4144, 0.3181)  1 Si 2.91, 2 Bi 3.23
Bi (0.2987, 0.5856, 0.3181)  1 Si 2.91, 2 Bi 3.23
Bi (0.5856, 0.7013, 0.3181)  1 Si 2.91, 2 Bi 3.23
Bi (0.0000, 0.0000, 0.3681)  1 Ir 2.70
Bi (0.7472, 0.0579, 0.5000)  1 Ir 2.71
Bi (0.0579, 0.2528, 0.5000)  1 Ir 2.71
Bi (0.9421, 0.7472, 0.5000)  1 Ir 2.71
Bi (0.2528, 0.9421, 0.5000)  1 Ir 2.71
Bi (0.0000, 0.0000, 0.6319)  1 Ir 2.70
Bi (0.4144, 0.2987, 0.6819)  1 Si 2.91, 2 Bi 3.23
Bi (0.7013, 0.4144, 0.6819)  1 Si 2.91, 2 Bi 3.23
Bi (0.2987, 0.5856, 0.6819)  1 Si 2.91, 2 Bi 3.23
Bi (0.5856, 0.7013, 0.6819)  1 Si 2.91, 2 Bi 3.23
Bi (0.5856, 0.2987, 0.8181)  1 Si 2.91, 2 Bi 3.23
Bi (0.2987, 0.4144, 0.8181)  1 Si 2.91, 2 Bi 3.23
Bi (0.7013, 0.5856, 0.8181)  1 Si 2.91, 2 Bi 3.23
Bi (0.4144, 0.7013, 0.8181)  1 Si 2.91, 2 Bi 3.23
Bi (0.0000, 0.0000, 0.8681)  1 Ir 2.70
I (0.6256, 0.2187, 0.0000)  2 Bi 3.16-3.33
I (0.2187, 0.3744, 0.0000)  2 Bi 3.16-3.33
I (0.7813, 0.6256, 0.0000)  2 Bi 3.16-3.33
I (0.3744, 0.7813, 0.0000)  2 Bi 3.16-3.33
I (0.2998, 0.0625, 0.1546)  2 Bi 3.20-3.23
I (0.9375, 0.2998, 0.1546)  2 Bi 3.20-3.23
I (0.0625, 0.7002, 0.1546)  2 Bi 3.20-3.23
I (0.7002, 0.9375, 0.1546)  2 Bi 3.20-3.23
I (0.7002, 0.0625, 0.3454)  2 Bi 3.20-3.23
I (0.0625, 0.2998, 0.3454)  2 Bi 3.20-3.23
I (0.9375, 0.7002, 0.3454)  2 Bi 3.20-3.23
I (0.2998, 0.9375, 0.3454)  2 Bi 3.20-3.23
I (0.3744, 0.2187, 0.5000)  2 Bi 3.16-3.33
I (0.7813, 0.3744, 0.5000)  2 Bi 3.16-3.33
I (0.2187, 0.6256, 0.5000)  2 Bi 3.16-3.33
I (0.6256, 0.7813, 0.5000)  2 Bi 3.16-3.33
I (0.7002, 0.0625, 0.6546)  2 Bi 3.20-3.23
I (0.0625, 0.2998, 0.6546)  2 Bi 3.20-3.23
I (0.9375, 0.7002, 0.6546)  2 Bi 3.20-3.23
I (0.2998, 0.9375, 0.6546)  2 Bi 3.20-3.23
I (0.2998, 0.0625, 0.8454)  2 Bi 3.20-3.23
I (0.9375, 0.2998, 0.8454)  2 Bi 3.20-3.23
I (0.0625, 0.7002, 0.8454)  2 Bi 3.20-3.23
I (0.7002, 0.9375, 0.8454)  2 Bi 3.20-3.23
Ir (0.0000, 0.0000, 0.0000)  6 Bi 2.70-2.71
Ir (0.0000, 0.0000, 0.5000)  6 Bi 2.70-2.71
Si (0.5000, 0.5000, 0.0937)  4 Bi 2.91
Si (0.5000, 0.5000, 0.4063)  4 Bi 2.91
Si (0.5000, 0.5000, 0.5937)  4 Bi 2.91
Si (0.5000, 0.5000, 0.9063)  4 Bi 2.91

Values from the calculation:
Size of the total moment   0.01 μB/cell
Total energy   -196.83 eV per cell

(5)
Here is a relaxed structure of MgNbBi from OQMD via LeMat-Bulk. Energies are from PBE-GGA.

Lattice parameters (Å, degrees): 4.8269 4.8269 4.8269 60.00 60.00 60.00
Closest atoms and distances in Å follow each position.
Fractional positions:
Bi (0.2500, 0.2500, 0.2500)  4 Nb 2.96
Mg (0.7500, 0.7500, 0.7500)  4 Nb 2.96
Nb (0.0000, 0.0000, 0.0000)  4 Bi 2.96, 4 Mg 2.96

Values from the calculation:
Size of the total moment   2.29 μB/cell
Total energy   -13.93 eV per cell

(6)
Here is a relaxed structure of TePtNO from OQMD via LeMat-Bulk. Energies are from PBE-GGA.

Lattice parameters (Å, degrees): 5.7574 6.8208 5.7320 90.00 90.00 90.00
Closest atoms and distances in Å follow each position.
Fractional positions:
N (0.3999, 0.1180, 0.0796)  1 Pt 2.04, 1 Te 2.07
N (0.8999, 0.8820, 0.0796)  1 Pt 2.04, 1 Te 2.07
N (0.1001, 0.1180, 0.5796)  1 Pt 2.04, 1 Te 2.07
N (0.6001, 0.8820, 0.5796)  1 Pt 2.04, 1 Te 2.07
O (0.6873, 0.4963, 0.2179)  3 Pt 2.04-2.28
O (0.1873, 0.5037, 0.2179)  3 Pt 2.04-2.28
O (0.8127, 0.4963, 0.7179)  3 Pt 2.04-2.28
O (0.3127, 0.5037, 0.7179)  3 Pt 2.04-2.28
Pt (0.9106, 0.3229, 0.4031)  1 N 2.04, 3 O 2.04-2.28
Pt (0.4106, 0.6771, 0.4031)  1 N 2.04, 3 O 2.04-2.28
Pt (0.5894, 0.3229, 0.9031)  1 N 2.04, 3 O 2.04-2.28
Pt (0.0894, 0.6771, 0.9031)  1 N 2.04, 3 O 2.04-2.28
Te (0.0012, 0.1663, 0.0018)  1 N 2.07
Te (0.5012, 0.8337, 0.0018)  1 N 2.07
Te (0.4988, 0.1663, 0.5018)  1 N 2.07
Te (0.9988, 0.8337, 0.5018)  1 N 2.07

Values from the calculation:
Size of the total moment   0.00 μB/cell
Total energy   -84.90 eV per cell

(7)
Here is a relaxed structure of YMgFeAs from OQMD via LeMat-Bulk. Energies are from PBE-GGA.

Lattice parameters (Å, degrees): 4.5545 4.5545 4.5545 60.00 60.00 60.00
Closest atoms and distances in Å follow each position.
Fractional positions:
As (0.0000, 0.0000, 0.0000)  4 Mg 2.79, 4 Fe 2.79
Fe (0.7500, 0.7500, 0.7500)  4 Y 2.79, 4 As 2.79
Mg (0.2500, 0.2500, 0.2500)  4 As 2.79, 4 Y 2.79
Y (0.5000, 0.5000, 0.5000)  4 Fe 2.79, 4 Mg 2.79

Values from the calculation:
Size of the total moment   0.06 μB/cell
Total energy   -20.83 eV per cell

(8)
Here is a relaxed structure of Rb2BaOs2O7 from OQMD via LeMat-Bulk. Energies are from PBE-GGA.

Lattice parameters (Å, degrees): 3.9606 3.9606 11.4561 99.93 99.93 90.00
Closest atoms and distances in Å follow each position.
Fractional positions:
Ba (0.0000, 0.0000, 0.0000)  12 O 2.80-2.81
O (0.5000, 0.5000, 0.0000)  2 Os 2.09
O (0.5891, 0.0893, 0.1794)  2 Os 1.98
O (0.0893, 0.5891, 0.1794)  2 Os 1.98
O (0.6785, 0.6785, 0.3569)  1 Os 1.88
O (0.3215, 0.3215, 0.6431)  1 Os 1.88
O (0.9107, 0.4109, 0.8206)  2 Os 1.98
O (0.4109, 0.9107, 0.8206)  2 Os 1.98
Os (0.5936, 0.5936, 0.1879)  6 O 1.88-2.09
Os (0.4064, 0.4064, 0.8121)  6 O 1.88-2.09
Rb (0.1931, 0.1931, 0.3846)  9 O 2.81-3.02
Rb (0.8069, 0.8069, 0.6154)  9 O 2.81-3.02

Values from the calculation:
Size of the total moment   2.11 μB/cell
Total energy   -78.41 eV per cell

(9)
Here is a relaxed structure of LaGd2In3Ni3 from OQMD via LeMat-Bulk. Energies are from PBE-GGA.

Lattice parameters (Å, degrees): 3.9113 7.4883 7.4883 119.40 90.00 90.00
Closest atoms and distances in Å follow each position.
Fractional positions:
Gd (0.0000, 0.9985, 0.5879)  5 Ni 3.00-3.08, 6 In 3.19-3.31
Gd (0.0000, 0.5879, 0.9985)  5 Ni 3.00-3.08, 6 In 3.19-3.31
In (0.5000, 0.9923, 0.2486)  4 Ni 2.72-2.91
In (0.5000, 0.7575, 0.7575)  4 Ni 2.68-2.91
In (0.5000, 0.2486, 0.9923)  4 Ni 2.72-2.91
La (0.0000, 0.4158, 0.4158)  5 Ni 2.98-3.14, 2 In 3.24
Ni (0.0000, 0.0005, 0.0005)  6 In 2.68-2.72
Ni (0.5000, 0.6661, 0.3327)  3 In 2.81-2.91, 2 La 2.98, 4 Gd 3.00
Ni (0.5000, 0.3327, 0.6661)  3 In 2.81-2.91, 2 La 2.98, 4 Gd 3.00

Values from the calculation:
Size of the total moment   0.00 μB/cell
Total energy   -43.60 eV per cell

(10)
Here is a relaxed structure of LiTe3IrAu from OQMD via LeMat-Bulk. Energies are from PBE-GGA.

Lattice parameters (Å, degrees): 7.3841 7.3841 10.6400 90.00 90.00 30.59
Closest atoms and distances in Å follow each position.
Fractional positions:
Au (0.6547, 0.6547, 0.2500)  2 Te 2.61, 2 Li 2.72
Au (0.3453, 0.3453, 0.7500)  2 Te 2.61, 2 Li 2.72
Ir (0.0000, 0.0000, 0.0000)  6 Te 2.68-2.76
Ir (0.0000, 0.0000, 0.5000)  6 Te 2.68-2.76
Li (0.2883, 0.2883, 0.2500)  2 Au 2.72, 4 Te 2.98-3.01
Li (0.7117, 0.7117, 0.7500)  2 Au 2.72, 4 Te 2.98-3.01
Te (0.6291, 0.6291, 0.0069)  1 Au 2.61, 2 Ir 2.68
Te (0.9493, 0.9493, 0.2500)  2 Ir 2.76, 2 Li 3.01
Te (0.6291, 0.6291, 0.4931)  1 Au 2.61, 2 Ir 2.68
Te (0.3709, 0.3709, 0.5069)  1 Au 2.61, 2 Ir 2.68
Te (0.0507, 0.0507, 0.7500)  2 Ir 2.76, 2 Li 3.01
Te (0.3709, 0.3709, 0.9931)  1 Au 2.61, 2 Ir 2.68

Values from the calculation:
Size of the total moment   0.00 μB/cell
Total energy   -50.11 eV per cell

(11)
Here is a relaxed structure of DyPt3C from OQMD via LeMat-Bulk. Energies are from PBE-GGA.

Lattice parameters (Å, degrees): 3.9532 3.9532 5.0681 90.00 90.00 90.00
Closest atoms and distances in Å follow each position.
Fractional positions:
C (0.5000, 0.5000, 0.6906)  5 Pt 2.02-2.19
Dy (0.0000, 0.0000, 0.9866)  8 Pt 2.84-3.15, 4 C 3.17
Pt (0.5000, 0.5000, 0.0894)  1 C 2.02
Pt (0.5000, 0.0000, 0.5030)  2 C 2.19
Pt (0.0000, 0.5000, 0.5030)  2 C 2.19

Values from the calculation:
Size of the total moment   0.00 μB/cell
Total energy   -34.02 eV per cell

(12)
Here is a relaxed structure of CsMoPtAu from OQMD via LeMat-Bulk. Energies are from PBE-GGA.

Lattice parameters (Å, degrees): 5.0063 5.0063 5.0063 60.00 60.00 60.00
Closest atoms and distances in Å follow each position.
Fractional positions:
Au (0.7500, 0.7500, 0.7500)  4 Mo 3.07, 4 Pt 3.07
Cs (0.2500, 0.2500, 0.2500)  4 Pt 3.07, 4 Mo 3.07
Mo (0.0000, 0.0000, 0.0000)  4 Au 3.07, 4 Cs 3.07
Pt (0.5000, 0.5000, 0.5000)  4 Cs 3.07, 4 Au 3.07

Values from the calculation:
Size of the total moment   3.88 μB/cell
Total energy   -15.99 eV per cell